A plane-wave DFT calculation with PBE was carried out for BiPbSCl2 after structural relaxation.

abc: 5.480 5.480 5.651
angles: 90.00 90.00 90.00
Element x y z (fractional)
Bi 0.000 0.000 0.000
Pb 0.500 0.500 0.500
S 0.500 0.500 0.000
Cl 0.000 0.500 0.500
Cl 0.500 0.000 0.500

Energy above the lowest structure with this stoichiometry: 198 meV per atom
Crystal system: tetragonal